First-principles (GGA-PBE) data for a geometry-optimized Ca5InAg6 structure, as listed in the Alexandria database.

Output
calculated total energy	-2.77	eV/atom
DOS(E_F)	0.491	states/eV/atom
E_form	-329	kJ/mol of formula units
total magnetization	0.00	μB/cell

Cell lengths 5.210, 8.955, 8.955 Å; angles 119.44, 107.16, 107.16 degrees
Positions (direct):
1 Ca 0.500 0.838 0.162
2 Ca 0.000 0.331 0.669
3 Ag 0.754 0.916 0.589
4 Ag 0.246 0.411 0.084
5 In 0.000 0.000 0.000
6 Ag 0.246 0.084 0.411
7 Ag 0.754 0.589 0.916
8 Ca 0.500 0.500 0.500
9 Ca 0.000 0.669 0.331
10 Ag 0.248 0.749 0.749
11 Ag 0.752 0.251 0.251
12 Ca 0.500 0.162 0.838